No. 1
A relaxed SrTlPb crystal. Source: Alexandria via LeMat-Bulk, functional PBE.

Cell: 3.866 4.784 10.750 Å, 90.00 89.98 90.01°
Positions (direct):
Pb (0.283, 0.732, 0.668)
Sr (0.785, 0.232, 0.839)
Tl (0.776, 0.232, 0.509)
Sr (0.785, 0.233, 0.182)
Tl (0.282, 0.733, 0.357)
Pb (0.285, 0.733, 0.008)

Computed properties:
ΔE to the lowest computed polymorph: 43 meV/atom
Energy relative to the elements: -0.307 eV per atom



No. 2
A relaxed SrTlPb crystal. Source: Alexandria via LeMat-Bulk, functional PBE.

Cell: 5.460 5.460 5.460 Å, 60.00 60.00 60.00°
Positions (direct):
Tl (0.000, 0.000, 0.000)
Sr (0.750, 0.750, 0.750)
Pb (0.500, 0.500, 0.500)

Computed properties:
ΔE to the lowest computed polymorph: 310 meV/atom
Energy relative to the elements: -0.040 eV per atom



No. 3
A relaxed SrTl6Pb2 crystal. Source: Alexandria via LeMat-Bulk, functional PBE.

Cell: 6.888 6.888 8.863 Å, 67.13 67.13 60.00°
Positions (direct):
Tl (0.276, 0.276, 0.664)
Tl (0.574, 0.045, 0.335)
Tl (0.045, 0.046, 0.335)
Tl (0.046, 0.574, 0.335)
Pb (0.761, 0.761, 0.718)
Tl (0.783, 0.276, 0.664)
Pb (0.573, 0.573, 0.280)
Tl (0.276, 0.783, 0.664)
Sr (0.331, 0.331, 0.007)

Computed properties:
ΔE to the lowest computed polymorph: 130 meV/atom
Energy relative to the elements: 0.019 eV per atom



No. 4
A relaxed SrTl8Pb5 crystal. Source: Alexandria via LeMat-Bulk, functional PBE.

Cell: 8.446 8.446 8.446 Å, 108.25 108.25 111.94°
Positions (direct):
Pb (0.810, 0.235, 0.763)
Tl (0.775, 0.352, 0.152)
Tl (0.987, 0.788, 0.110)
Sr (0.250, 0.750, 0.500)
Tl (0.200, 0.623, 0.848)
Tl (0.648, 0.800, 0.423)
Tl (0.212, 0.322, 0.199)
Pb (0.472, 0.047, 0.237)
Pb (0.500, 0.500, 0.000)
Tl (0.678, 0.877, 0.890)
Pb (0.953, 0.190, 0.425)
Tl (0.123, 0.013, 0.801)
Pb (0.765, 0.528, 0.575)
Tl (0.377, 0.225, 0.577)

Computed properties:
Energy relative to the elements: 0.010 eV per atom



No. 5
A relaxed Sr3Tl7Pb2 crystal. Source: Alexandria via LeMat-Bulk, functional PBE.

Cell: 5.220 5.347 14.961 Å, 100.29 90.00 90.00°
Positions (direct):
Tl (0.000, 0.269, 0.538)
Tl (0.000, 0.000, 0.000)
Tl (0.000, 0.421, 0.843)
Sr (0.500, 0.659, 0.318)
Tl (0.000, 0.579, 0.157)
Tl (0.000, 0.731, 0.462)
Tl (0.500, 0.079, 0.158)
Pb (0.000, 0.849, 0.699)
Sr (0.500, 0.500, 0.000)
Tl (0.500, 0.921, 0.842)
Sr (0.500, 0.341, 0.682)
Pb (0.000, 0.151, 0.301)

Computed properties:
Energy relative to the elements: -0.185 eV per atom



No. 6
A relaxed SrTl2Pb2 crystal. Source: Alexandria via LeMat-Bulk, functional PBE.

Cell: 4.830 4.830 8.208 Å, 72.89 72.89 90.00°
Positions (direct):
Pb (0.750, 0.250, 0.500)
Pb (0.250, 0.750, 0.500)
Tl (0.397, 0.397, 0.206)
Tl (0.603, 0.603, 0.794)
Sr (0.000, 0.000, 0.000)

Computed properties:
ΔE to the lowest computed polymorph: 77 meV/atom
Energy relative to the elements: -0.140 eV per atom



No. 7
A relaxed SrTl4Pb5 crystal. Source: Alexandria via LeMat-Bulk, functional PBE.

Cell: 4.806 7.329 10.765 Å, 119.92 102.90 90.00°
Positions (direct):
Pb (0.500, 0.500, 0.000)
Tl (0.701, 0.302, 0.403)
Tl (0.899, 0.109, 0.798)
Pb (0.304, 0.209, 0.608)
Tl (0.101, 0.891, 0.202)
Pb (0.895, 0.573, 0.790)
Sr (0.500, 0.000, 0.000)
Pb (0.105, 0.427, 0.210)
Tl (0.299, 0.698, 0.597)
Pb (0.696, 0.791, 0.392)

Computed properties:
Energy relative to the elements: -0.116 eV per atom



No. 8
A relaxed Sr4TlPb crystal. Source: Alexandria via LeMat-Bulk, functional PBE.

Cell: 7.167 7.167 7.167 Å, 60.00 60.00 60.00°
Positions (direct):
Tl (0.750, 0.750, 0.750)
Sr (0.876, 0.375, 0.375)
Sr (0.375, 0.876, 0.375)
Sr (0.375, 0.375, 0.375)
Sr (0.375, 0.375, 0.876)
Pb (0.000, 0.000, 0.000)

Computed properties:
ΔE to the lowest computed polymorph: 609 meV/atom
Energy relative to the elements: 0.235 eV per atom



No. 9
A relaxed SrTlPb2 crystal. Source: Alexandria via LeMat-Bulk, functional PBE.

Cell: 10.900 10.900 10.900 Å, 20.46 20.46 20.46°
Positions (direct):
Sr (0.250, 0.250, 0.250)
Pb (0.495, 0.495, 0.495)
Pb (0.005, 0.005, 0.005)
Tl (0.750, 0.750, 0.750)

Computed properties:
Energy relative to the elements: -0.093 eV per atom



No. 10
A relaxed SrTlPb4 crystal. Source: Alexandria via LeMat-Bulk, functional PBE.

Cell: 6.609 6.609 6.609 Å, 60.00 60.00 60.00°
Positions (direct):
Pb (0.624, 0.128, 0.624)
Sr (0.250, 0.250, 0.250)
Pb (0.128, 0.624, 0.624)
Pb (0.624, 0.624, 0.624)
Tl (0.000, 0.000, 0.000)
Pb (0.624, 0.624, 0.128)

Computed properties:
ΔE to the lowest computed polymorph: 0 meV/atom
Energy relative to the elements: -0.171 eV per atom



No. 11
A relaxed SrTl2Pb2 crystal. Source: Alexandria via LeMat-Bulk, functional PBE.

Cell: 5.440 7.085 8.662 Å, 102.61 90.00 90.00°
Positions (direct):
Pb (0.250, 0.858, 0.981)
Pb (0.750, 0.981, 0.617)
Tl (0.750, 0.343, 0.439)
Tl (0.250, 0.381, 0.195)
Pb (0.250, 0.019, 0.383)
Tl (0.750, 0.619, 0.805)
Sr (0.750, 0.703, 0.215)
Sr (0.250, 0.297, 0.785)
Tl (0.250, 0.657, 0.561)
Pb (0.750, 0.142, 0.019)

Computed properties:
ΔE to the lowest computed polymorph: 0 meV/atom
Energy relative to the elements: -0.217 eV per atom



No. 12
A relaxed Sr3Tl3Pb8 crystal. Source: Alexandria via LeMat-Bulk, functional PBE.

Cell: 5.499 9.692 9.692 Å, 78.21 73.52 73.52°
Positions (direct):
Pb (0.862, 0.769, 0.506)
Tl (0.500, 0.000, 0.000)
Pb (0.138, 0.494, 0.231)
Sr (0.500, 0.500, 0.500)
Pb (0.645, 0.079, 0.631)
Sr (0.792, 0.208, 0.208)
Tl (0.000, 0.156, 0.844)
Sr (0.208, 0.792, 0.792)
Pb (0.355, 0.921, 0.369)
Pb (0.862, 0.506, 0.769)
Pb (0.355, 0.369, 0.921)
Pb (0.645, 0.631, 0.079)
Pb (0.138, 0.231, 0.494)
Tl (0.000, 0.844, 0.156)

Computed properties:
Energy relative to the elements: -0.228 eV per atom